This record from Alexandria via LeMat-Bulk describes a geometry-optimized SmY2Te structure. The functional is PBE.

## Properties
Symmetry: R-3m (166)
Polymorph energy (0 for the lowest one): 421.5 meV/atom
Uncorrected formation energy: -0.2605 eV/atom

a = 10.926 Å, b = 10.926 Å, c = 10.926 Å
α = 20.35°, β = 20.35°, γ = 20.35°
Atoms (fractional coordinates):
Sm 0.000 0.000 0.000
Y 0.103 0.103 0.103
Y 0.897 0.897 0.897
Te 0.500 0.500 0.500